Entry 1:
{"formula": "MgBe2Cu2", "functional": "PBE", "state": "relaxed", "formation_energy_mev_per_atom": -52, "n_ef_per_ev_atom": 0.135, "cell": [[6.509, 0.000, 0.000], [0.000, 6.509, 0.000], [0.000, 0.000, 2.727]], "species": ["Mg", "Mg", "Be", "Be", "Be", "Be", "Cu", "Cu", "Cu", "Cu"], "frac_coords": [[0.000, 0.000, 0.000], [0.500, 0.500, 0.000], [0.122, 0.378, 0.000], [0.378, 0.878, 0.000], [0.622, 0.122, 0.000], [0.878, 0.622, 0.000], [0.167, 0.667, 0.500], [0.333, 0.167, 0.500], [0.667, 0.833, 0.500], [0.833, 0.333, 0.500]]}


Entry 2:
{"formula": "MgBeCu2", "functional": "PBE", "state": "relaxed", "formation_energy_mev_per_atom": 34, "n_ef_per_ev_atom": 0.337, "cell": [[-1.514, 2.117, 3.954], [1.514, -2.117, 3.954], [1.514, 2.117, -3.954]], "species": ["Mg", "Be", "Cu", "Cu"], "frac_coords": [[0.000, 0.000, 0.000], [0.500, 0.500, 0.000], [0.281, 0.781, 0.500], [0.719, 0.219, 0.500]]}


Entry 3:
{"formula": "Mg2BeCu", "functional": "PBE", "state": "relaxed", "formation_energy_mev_per_atom": 79, "n_ef_per_ev_atom": 0.296, "cell": [[3.087, 0.000, 0.000], [0.000, 4.010, 0.000], [-1.459, 0.000, 5.079]], "species": ["Mg", "Mg", "Be", "Cu"], "frac_coords": [[0.000, 0.000, 0.000], [0.311, 0.500, 0.635], [0.600, 0.500, 0.203], [0.710, 0.000, 0.430]]}


Entry 4:
{"formula": "Mg2Be2Cu", "functional": "PBE", "state": "relaxed", "formation_energy_mev_per_atom": 183, "n_ef_per_ev_atom": 0.235, "cell": [[5.923, 0.000, 0.000], [0.000, 5.923, 0.000], [0.000, 0.000, 4.056]], "species": ["Mg", "Mg", "Mg", "Mg", "Be", "Be", "Be", "Be", "Cu", "Cu"], "frac_coords": [[0.174, 0.326, 0.000], [0.326, 0.826, 0.000], [0.674, 0.174, 0.000], [0.826, 0.674, 0.000], [0.130, 0.630, 0.500], [0.370, 0.130, 0.500], [0.630, 0.870, 0.500], [0.870, 0.370, 0.500], [0.000, 0.000, 0.500], [0.500, 0.500, 0.500]]}


Entry 5:
{"formula": "MgBeCu2", "functional": "PBE", "state": "relaxed", "formation_energy_mev_per_atom": -69, "n_ef_per_ev_atom": 0.252, "cell": [[2.772, 0.000, 0.000], [0.000, 2.847, 0.000], [0.000, 0.000, 6.366]], "species": ["Mg", "Be", "Cu", "Cu"], "frac_coords": [[0.000, 0.000, 0.000], [0.000, 0.000, 0.500], [0.500, 0.500, 0.301], [0.500, 0.500, 0.699]]}


Entry 6:
{"formula": "Mg2BeCu", "functional": "PBE", "state": "relaxed", "formation_energy_mev_per_atom": 82, "n_ef_per_ev_atom": 0.163, "cell": [[5.111, -1.466, 0.000], [5.111, 1.466, 0.000], [-1.986, 0.000, 4.054]], "species": ["Mg", "Mg", "Be", "Cu"], "frac_coords": [[0.000, 0.000, 0.000], [0.208, 0.208, 0.708], [0.760, 0.760, 0.259], [0.444, 0.444, 0.444]]}


Entry 7:
{"formula": "MgBe3Cu10", "functional": "PBE", "state": "relaxed", "formation_energy_mev_per_atom": 57, "n_ef_per_ev_atom": 0.505, "cell": [[0.000, 5.543, 5.543], [5.543, 0.000, 5.543], [5.543, 5.543, 0.000]], "species": ["Mg", "Mg", "Be", "Be", "Be", "Be", "Be", "Be", "Cu", "Cu", "Cu", "Cu", "Cu", "Cu", "Cu", "Cu", "Cu", "Cu", "Cu", "Cu", "Cu", "Cu", "Cu", "Cu", "Cu", "Cu", "Cu", "Cu"], "frac_coords": [[0.250, 0.250, 0.250], [0.750, 0.750, 0.750], [0.230, 0.230, 0.770], [0.230, 0.770, 0.230], [0.230, 0.770, 0.770], [0.770, 0.230, 0.230], [0.770, 0.230, 0.770], [0.770, 0.770, 0.230], [0.116, 0.116, 0.116], [0.116, 0.116, 0.652], [0.116, 0.652, 0.116], [0.156, 0.500, 0.500], [0.156, 0.500, 0.844], [0.156, 0.844, 0.500], [0.348, 0.884, 0.884], [0.500, 0.156, 0.500], [0.500, 0.156, 0.844], [0.500, 0.500, 0.156], [0.500, 0.500, 0.844], [0.500, 0.844, 0.156], [0.500, 0.844, 0.500], [0.652, 0.116, 0.116], [0.844, 0.156, 0.500], [0.844, 0.500, 0.156], [0.844, 0.500, 0.500], [0.884, 0.348, 0.884], [0.884, 0.884, 0.348], [0.884, 0.884, 0.884]]}


Entry 8:
{"formula": "Mg2BeCu", "functional": "PBE", "state": "relaxed", "formation_energy_mev_per_atom": 33, "n_ef_per_ev_atom": 0.179, "cell": [[2.966, 0.000, 0.000], [0.000, 2.966, 0.000], [0.000, 0.000, 7.004]], "species": ["Mg", "Mg", "Be", "Cu"], "frac_coords": [[0.000, 0.000, 0.000], [0.500, 0.500, 0.347], [0.000, 0.000, 0.604], [0.500, 0.500, 0.742]]}